(1)
Here is a geometry-optimized LaZn8Ga2Pd structure from Alexandria. Energies are from PBE.

Lattice parameters (Å, degrees): 4.5246 4.5246 11.8498 99.22 99.22 65.94
Element x y z (fractional)
La 0.0000 0.0000 0.0000
Zn 0.1933 0.6982 0.6823
Zn 0.2560 0.2560 0.8201
Zn 0.3018 0.8067 0.3177
Zn 0.3310 0.3310 0.4604
Zn 0.6690 0.6690 0.5396
Zn 0.6982 0.1933 0.6823
Zn 0.7440 0.7440 0.1799
Zn 0.8067 0.3018 0.3177
Ga 0.3760 0.3760 0.1407
Ga 0.6240 0.6240 0.8593
Pd 0.0000 0.0000 0.5000

Output
The formation enthalpy at 0 K is -203 meV/atom. The volume comes out at 18.120 A^3/atom. As for the size of the total moment: 0.000 μB/f.u.



(2)
Here is a geometry-optimized Zn2CuAu structure from Alexandria. Energies are from PBE.

Lattice parameters (Å, degrees): 4.9543 4.9543 4.4410 109.10 109.10 35.55
Element x y z (fractional)
Zn 0.0000 0.0000 0.0000
Zn 0.2439 0.2439 0.6759
Cu 0.5043 0.5043 0.5132
Au 0.7542 0.7542 0.1857

Output
The formation enthalpy at 0 K is -121 meV/atom. The volume comes out at 14.878 A^3/atom. As for the size of the total moment: 0.000 μB/f.u.



What did the second record say?
Here is a geometry-optimized Zn2CuAu structure from Alexandria. Energies are from PBE.

Lattice parameters (Å, degrees): 4.9543 4.9543 4.4410 109.10 109.10 35.55
Element x y z (fractional)
Zn 0.0000 0.0000 0.0000
Zn 0.2439 0.2439 0.6759
Cu 0.5043 0.5043 0.5132
Au 0.7542 0.7542 0.1857

Output
The formation enthalpy at 0 K is -121 meV/atom. The volume comes out at 14.878 A^3/atom. As for the size of the total moment: 0.000 μB/f.u.



Q: What is the size of the total moment in the second record?
A: 0.000 μB/f.u.



Repeat the second record exactly.
Here is a geometry-optimized Zn2CuAu structure from Alexandria. Energies are from PBE.

Lattice parameters (Å, degrees): 4.9543 4.9543 4.4410 109.10 109.10 35.55
Element x y z (fractional)
Zn 0.0000 0.0000 0.0000
Zn 0.2439 0.2439 0.6759
Cu 0.5043 0.5043 0.5132
Au 0.7542 0.7542 0.1857

Output
The formation enthalpy at 0 K is -121 meV/atom. The volume comes out at 14.878 A^3/atom. As for the size of the total moment: 0.000 μB/f.u.



Q: The highest formation enthalpy at 0 K belongs to which entry?
A: Zn2CuAu